Entry 1:
Material: TeH4S2
Method: DFT, PBE-GGA
State: relaxed

Cell and atoms, written as POSCAR:
```
TeH4S2
1.0
-5.239 -4.527 6.594
0.069 -5.731 -6.167
4.668 4.480 5.271
S H Te
4 8 2
Direct
0.151 0.184 0.587
0.717 0.430 0.819
0.509 0.969 0.385
0.718 0.391 0.265
0.996 0.954 0.019
0.821 0.276 0.154
0.262 0.087 0.515
0.707 0.439 0.144
0.208 0.356 0.599
0.456 0.558 0.469
0.833 0.344 0.762
0.494 0.957 0.210
0.052 0.112 0.973
0.327 0.694 0.599
```

Summary:
- Space group: P1 (1)
- Size of the total moment: 0.000 μB/atom
- DFT total energy: -3.5821 eV/atom



Entry 2:
Material: TeHS3
Method: DFT, PBE-GGA
State: relaxed

Cell and atoms, written as POSCAR:
```
TeHS3
1.0
-3.377 0.277 -3.527
0.642 -13.145 3.527
-7.029 -4.351 0.210
S H Te
6 2 2
Direct
0.875 0.826 0.096
0.125 0.174 0.904
0.131 0.125 0.178
0.850 0.579 0.789
0.150 0.421 0.211
0.869 0.875 0.822
0.748 0.577 0.666
0.252 0.423 0.334
0.064 0.670 0.143
0.936 0.330 0.857
```

Summary:
- Space group: P-1 (2)
- Size of the total moment: 0.000 μB/atom
- Excess energy over the best structure of this formula in the dataset: 0.000 eV per atom



Entry 3:
Material: TeH2S
Method: DFT, PBE-GGA
State: relaxed

Cell and atoms, written as POSCAR:
```
TeH2S
1.0
0.000 2.874 2.874
2.874 0.000 2.874
2.874 2.874 0.000
H S Te
2 1 1
Direct
0.250 0.250 0.250
0.750 0.750 0.750
0.000 0.000 0.000
0.500 0.500 0.500
```

Summary:
- Space group: Fm-3m (225)
- Size of the total moment: 0.000 μB/atom
- Excess energy over the best structure of this formula in the dataset: 1.022 eV per atom